A plane-wave DFT calculation with PBE+U was carried out for crystalline LiMnN2O at its relaxed geometry.

density	3.52	Mg/m³
size of the total moment	0.00	μB per atom
total energy	-5.57	eV/atom

```
5
Lattice="3.563 0.000 0.000 0.000 3.563 0.000 0.000 0.000 3.940" Properties=species:S:1:pos:R:3 pbc="T T T"
Mn 0.000 0.000 0.000
Li 1.781 1.781 1.970
O 0.000 0.000 1.970
N 0.000 1.781 0.000
N 1.781 0.000 0.000
```